{
  "formula": "TlFe2Au",
  "functional": "PBE",
  "state": "relaxed",
  "cell": [[4.9219, -0.0371, -0.0208], [1.6256, 4.6459, 0.0208], [-3.2610, -2.3226, 2.8634]],
  "species": ["Fe", "Fe", "Au", "Tl"],
  "fractional_positions": [[0.5000, 0.5000, 0.0000], [0.0000, 0.0000, 0.0000], [0.2500, 0.7500, 0.5000], [0.7500, 0.2500, 0.5000]],
  "e_form_mev_per_atom": 396,
  "dft_energy_ry_per_atom": -0.3856,
  "spacegroup": "I4/mmm, No. 139",
  "crystal_system": "tetragonal",
  "volume_a3_per_atom": 16.4
}

=====

{
  "formula": "TlVFeAu2",
  "functional": "PBE",
  "state": "relaxed",
  "cell": [[-2.0004, 1.0158, -4.2655], [-4.3802, -1.3754, 1.7267], [-0.8385, 4.5133, 1.4681]],
  "species": ["V", "Tl", "Fe", "Au", "Au"],
  "fractional_positions": [[0.5000, 0.5000, 0.5000], [0.0000, 0.5000, 0.0000], [0.0000, 0.0000, 0.0000], [0.5000, 0.0000, 0.0000], [0.0000, 0.0000, 0.5000]],
  "e_form_mev_per_atom": 1121,
  "dft_energy_ry_per_atom": -0.3072,
  "spacegroup": "P4/mmm, No. 123",
  "crystal_system": "tetragonal",
  "volume_a3_per_atom": 22.8
}

=====

{
  "formula": "Tm4FeAu",
  "functional": "PBE",
  "state": "relaxed",
  "cell": [[-1.5995, -5.5912, 1.6051], [-0.4595, 0.2125, -7.7061], [7.3027, 0.8797, 2.3531]],
  "species": ["Au", "Au", "Tm", "Tm", "Tm", "Tm", "Tm", "Tm", "Tm", "Tm", "Fe", "Fe"],
  "fractional_positions": [[0.7500, 0.6318, 0.3682], [0.2500, 0.3682, 0.6318], [0.0820, 0.9429, 0.2857], [0.6910, 0.2159, 0.3503], [0.1910, 0.3503, 0.2159], [0.8090, 0.6497, 0.7841], [0.4180, 0.7143, 0.0571], [0.5820, 0.2857, 0.9429], [0.9180, 0.0571, 0.7143], [0.3090, 0.7841, 0.6497], [0.2500, 0.0010, 0.9990], [0.7500, 0.9990, 0.0010]],
  "e_form_mev_per_atom": -333,
  "dft_energy_ry_per_atom": -0.3874,
  "spacegroup": "C2/c, No. 15",
  "crystal_system": "monoclinic",
  "volume_a3_per_atom": 24.5
}

=====

{
  "formula": "TmFe4Au",
  "functional": "PBE",
  "state": "relaxed",
  "cell": [[-3.8753, -1.1895, 2.9302], [0.7734, -2.4140, 4.3120], [-0.6675, 2.3757, 4.3508]],
  "species": ["Fe", "Fe", "Fe", "Fe", "Tm", "Au"],
  "fractional_positions": [[0.6255, 0.1236, 0.6255], [0.1236, 0.6255, 0.6255], [0.6255, 0.6255, 0.1236], [0.6255, 0.6255, 0.6255], [0.0000, 0.0000, 0.0000], [0.2500, 0.2500, 0.2500]],
  "e_form_mev_per_atom": -123,
  "dft_energy_ry_per_atom": -0.5187,
  "spacegroup": "F-43m, No. 216",
  "crystal_system": "cubic",
  "volume_a3_per_atom": 14.7
}

=====

{
  "formula": "Tm2FeAu",
  "functional": "PBE",
  "state": "relaxed",
  "cell": [[3.3300, 0.0000, 0.0000], [0.0000, 3.3300, 0.0000], [0.0000, 0.0000, 7.1949]],
  "species": ["Fe", "Au", "Tm", "Tm"],
  "fractional_positions": [[0.5000, 0.5000, 0.0000], [0.5000, 0.5000, 0.5000], [0.0000, 0.0000, 0.2230], [0.0000, 0.0000, 0.7770]],
  "e_form_mev_per_atom": -405,
  "dft_energy_ry_per_atom": -0.4098,
  "spacegroup": "P4/mmm, No. 123",
  "crystal_system": "tetragonal",
  "volume_a3_per_atom": 19.9
}

=====

{
  "formula": "Tm8FeAu2",
  "functional": "PBE",
  "state": "relaxed",
  "cell": [[5.0821, 0.0000, 0.0000], [0.0000, 6.7040, 0.0949], [-2.5410, -2.7609, 8.0172]],
  "species": ["Tm", "Tm", "Tm", "Tm", "Tm", "Tm", "Tm", "Tm", "Au", "Au", "Fe"],
  "fractional_positions": [[0.5910, 0.4274, 0.1820], [0.8004, 0.6990, 0.6007], [0.4090, 0.5726, 0.8180], [0.0275, 0.7961, 0.0549], [0.9725, 0.2039, 0.9451], [0.1996, 0.3010, 0.3993], [0.3415, 0.0387, 0.6830], [0.6585, 0.9613, 0.3170], [0.8156, 0.2903, 0.6312], [0.1844, 0.7097, 0.3688], [0.5000, 0.0000, 0.0000]],
  "e_form_mev_per_atom": -337,
  "dft_energy_ry_per_atom": -0.3641,
  "spacegroup": "C2/m, No. 12",
  "crystal_system": "monoclinic",
  "volume_a3_per_atom": 25.0
}

=====

{
  "formula": "UFe4Au",
  "functional": "PBE",
  "state": "relaxed",
  "cell": [[-1.5261, -0.9715, 4.6532], [0.1275, -4.6763, 1.7438], [3.3231, -1.2680, 3.5034]],
  "species": ["U", "Fe", "Fe", "Fe", "Fe", "Au"],
  "fractional_positions": [[0.2500, 0.2500, 0.2500], [0.6254, 0.6254, 0.6254], [0.6254, 0.6254, 0.1238], [0.1238, 0.6254, 0.6254], [0.6254, 0.1238, 0.6254], [0.0000, 0.0000, 0.0000]],
  "e_form_mev_per_atom": 20,
  "dft_energy_ry_per_atom": -0.5916,
  "spacegroup": "F-43m, No. 216",
  "crystal_system": "cubic",
  "volume_a3_per_atom": 14.7
}

=====

{
  "formula": "UFeAu",
  "functional": "PBE",
  "state": "relaxed",
  "cell": [[-3.5787, 0.3994, -1.0001], [-2.2516, -1.2557, 6.2819], [0.2427, 4.1981, 1.8816]],
  "species": ["U", "U", "Fe", "Fe", "Au", "Au"],
  "fractional_positions": [[0.0005, 0.2610, 0.1588], [0.9995, 0.7390, 0.8412], [0.3259, 0.5267, 0.7095], [0.6741, 0.4733, 0.2905], [0.5211, 0.8746, 0.2852], [0.4789, 0.1254, 0.7148]],
  "e_form_mev_per_atom": -50,
  "dft_energy_ry_per_atom": -0.5678,
  "spacegroup": "P-1, No. 2",
  "crystal_system": "triclinic",
  "volume_a3_per_atom": 19.0
}